Model w:
Crystalline GaNi2Hg2 at its relaxed geometry. Source: Alexandria via LeMat-Bulk, functional PBE.

## Properties
space group	I4/mmm (139)
spin magnetization	0.0	μB/cell

a b c (Å): 3.3503 3.3503 8.6453
angles (deg): 78.83 78.83 90.00
Closest atoms and distances in Å follow each position.
Positions (direct):
Ga  0.0000  0.0000  0.0000  8 Hg 3.10, 4 Ga 3.35
Ni  0.7500  0.2500  0.5000  4 Ni 2.37
Ni  0.2500  0.7500  0.5000  4 Ni 2.37
Hg  0.3796  0.3796  0.2408  4 Ni 2.73
Hg  0.6204  0.6204  0.7592  4 Ni 2.73

=====

Model x:
Crystalline GaNi2Hg2 at its relaxed geometry. Source: Alexandria via LeMat-Bulk, functional PBE.

## Properties
space group	P4/mbm (127)
spin magnetization	0.0	μB/cell

a b c (Å): 6.3290 6.3290 4.0980
angles (deg): 90.00 90.00 90.00
Closest atoms and distances in Å follow each position.
Positions (direct):
Ni  0.8585  0.6415  0.0000  2 Ga 2.44, 1 Ni 2.53, 2 Hg 2.68
Ni  0.6415  0.1415  0.0000  2 Ga 2.44, 1 Ni 2.53, 2 Hg 2.68
Ni  0.3585  0.8585  0.0000  2 Ga 2.44, 1 Ni 2.53, 2 Hg 2.68
Ni  0.1415  0.3585  0.0000  2 Ga 2.44, 1 Ni 2.53, 2 Hg 2.68
Ga  0.5000  0.5000  0.0000  4 Ni 2.44
Ga  0.0000  0.0000  0.0000  4 Ni 2.44
Hg  0.6646  0.8354  0.5000  6 Ni 2.68-2.82, 1 Hg 2.95
Hg  0.8354  0.3354  0.5000  6 Ni 2.68-2.82, 1 Hg 2.95
Hg  0.1646  0.6646  0.5000  6 Ni 2.68-2.82, 1 Hg 2.95
Hg  0.3354  0.1646  0.5000  6 Ni 2.68-2.82, 1 Hg 2.95

=====

Least stable structure: model w